(1)
DFT (GGA-PBE) results for Li4Er3Au4 after structural relaxation.

Cell: 8.3878 8.3878 8.3878 Å, 152.62 124.58 62.90°
Atoms (fractional coordinates):
Li 0.0189 0.8236 0.1953
Li 0.3717 0.1764 0.1953
Li 0.6283 0.8236 0.8047
Li 0.9811 0.1764 0.8047
Er 0.0000 0.5000 0.5000
Er 0.3801 0.3801 0.0000
Er 0.6199 0.6199 0.0000
Au 0.2235 0.7235 0.5000
Au 0.3011 0.0000 0.3011
Au 0.6989 0.0000 0.6989
Au 0.7765 0.2765 0.5000

Summary:
* DOS(E_F): 6.559 states/eV per cell
* E_tot: -3.728 eV per atom
* space-group type: Immm, No. 71
* formation energy: -596.0 meV per atom
* total magnetization: 0.0 μB/cell

(2)
DFT (GGA-PBE) results for Dy6RuO12 after structural relaxation.

Cell: 6.4685 6.4685 6.4685 Å, 98.57 98.57 98.57°
Atoms (fractional coordinates):
Dy 0.1119 0.8130 0.6436
Dy 0.1870 0.3564 0.8881
Dy 0.3564 0.8881 0.1870
Dy 0.6436 0.1119 0.8130
Dy 0.8130 0.6436 0.1119
Dy 0.8881 0.1870 0.3564
Ru 0.5000 0.5000 0.5000
O 0.0655 0.9093 0.3225
O 0.0907 0.6775 0.9345
O 0.2021 0.4278 0.5353
O 0.3225 0.0655 0.9093
O 0.4278 0.5353 0.2021
O 0.4647 0.7979 0.5722
O 0.5353 0.2021 0.4278
O 0.5722 0.4647 0.7979
O 0.6775 0.9345 0.0907
O 0.7979 0.5722 0.4647
O 0.9093 0.3225 0.0655
O 0.9345 0.0907 0.6775

Summary:
* DOS(E_F): 8.754 states/eV per cell
* E_tot: -8.085 eV per atom
* space-group type: R-3, No. 148
* formation energy without anion corrections: -3.012 eV/atom
* total magnetization: 2.0 μB/cell

(3)
DFT (GGA-PBE) results for Ho6PtS5 after structural relaxation.

Cell: 6.8125 6.8125 6.7912 Å, 99.68 99.68 119.97°
Atoms (fractional coordinates):
Ho 0.0833 0.4190 0.7522
Ho 0.2489 0.2489 0.2514
Ho 0.4190 0.0833 0.7522
Ho 0.5810 0.9167 0.2478
Ho 0.7511 0.7511 0.7486
Ho 0.9167 0.5810 0.2478
Pt 0.5000 0.5000 0.0000
S 0.0000 0.0000 0.5000
S 0.1655 0.8345 0.0000
S 0.3301 0.6699 0.5000
S 0.6699 0.3301 0.5000
S 0.8345 0.1655 0.0000

Summary:
* DOS(E_F): 3.561 states/eV per cell
* E_tot: -6.368 eV per atom
* space-group type: C2/m, No. 12
* formation energy without anion corrections: -1.856 eV/atom
* total magnetization: 0.0 μB/cell

(4)
DFT (GGA-PBE) results for YCdSe2 after structural relaxation.

Cell: 5.1123 5.1123 5.1123 Å, 60.00 60.00 60.00°
Atoms (fractional coordinates):
Y 0.0000 0.0000 0.0000
Cd 0.7500 0.7500 0.7500
Se 0.2500 0.2500 0.2500
Se 0.5000 0.5000 0.5000

Summary:
* DOS(E_F): 3.098 states/eV per cell
* E_tot: -4.056 eV per atom
* space-group type: F-43m, No. 216
* formation energy without anion corrections: -0.469 eV/atom
* total magnetization: 0.0 μB/cell

(5)
DFT (GGA-PBE) results for Y2TiIrO after structural relaxation.

Cell: 4.7848 4.7848 3.9493 Å, 90.00 90.00 90.00°
Atoms (fractional coordinates):
Y 0.0000 0.5000 0.0000
Y 0.5000 0.0000 0.0000
Ti 0.0000 0.0000 0.5000
Ir 0.5000 0.5000 0.5000
O 0.0000 0.0000 0.0000

Summary:
* DOS(E_F): 4.763 states/eV per cell
* E_tot: -8.292 eV per atom
* space-group type: P4/mmm, No. 123
* formation energy without anion corrections: -1.363 eV/atom
* total magnetization: 1.0 μB/cell

(6)
DFT (GGA-PBE) results for Dy5AlHg4 after structural relaxation.

Cell: 3.6954 3.6954 18.5350 Å, 90.00 90.00 90.00°
Atoms (fractional coordinates):
Dy 0.0000 0.0000 0.0000
Dy 0.0000 0.0000 0.2025
Dy 0.0000 0.0000 0.4049
Dy 0.0000 0.0000 0.5951
Dy 0.0000 0.0000 0.7975
Al 0.5000 0.5000 0.5000
Hg 0.5000 0.5000 0.1015
Hg 0.5000 0.5000 0.3048
Hg 0.5000 0.5000 0.6952
Hg 0.5000 0.5000 0.8985

Summary:
* DOS(E_F): 9.075 states/eV per cell
* E_tot: -3.256 eV per atom
* space-group type: P4/mmm, No. 123
* formation energy: -459.9 meV per atom
* total magnetization: 0.0 μB/cell